An optimized crystal structure of Hf6AsC2, computed with PBE.

abc: 5.8796 5.8796 7.8185
angles: 115.57 115.57 44.49
Last column: nearest neighbours and their distance in Å.
Atoms (fractional coordinates):
Hf 0.0211 0.0211 0.1933  2 C 2.26-2.29, 1 As 2.51
Hf 0.3144 0.3144 0.9231  3 C 2.23-2.34
Hf 0.3357 0.3357 0.4236  1 C 2.36
Hf 0.6643 0.6643 0.5764  1 C 2.36
Hf 0.6856 0.6856 0.0769  3 C 2.23-2.34
Hf 0.9789 0.9789 0.8067  2 C 2.26-2.29, 1 As 2.51
As 0.0000 0.0000 0.5000  6 Hf 2.51-2.74
C 0.1828 0.1828 0.0889  6 Hf 2.23-2.36
C 0.8172 0.8172 0.9111  6 Hf 2.23-2.36

The calculation puts the total DFT energy (no corrections) at -9.618 eV/atom. For the magnetic moment, the calculation gives 0.00 μB per atom. Its energy relative to the elements is -416 meV per atom.

An optimized crystal structure of Na3InIr, computed with PBE.

abc: 5.4167 5.4167 5.4167
angles: 90.00 90.00 90.00
Last column: nearest neighbours and their distance in Å.
Atoms (fractional coordinates):
Na 0.0000 0.0000 0.5000  2 Ir 2.71
Na 0.0000 0.5000 0.0000  2 Ir 2.71
Na 0.5000 0.0000 0.0000  2 Ir 2.71
In 0.5000 0.5000 0.5000  12 Na 3.83
Ir 0.0000 0.0000 0.0000  6 Na 2.71

The calculation puts the total DFT energy (no corrections) at -2.414 eV/atom. For the magnetic moment, the calculation gives 0.00 μB per atom. Its energy relative to the elements is 698 meV per atom. As for the distance to the lowest polymorph of the same formula: 0 meV/atom.

An optimized crystal structure of MnAsCl2, computed with PBE.

abc: 3.0695 3.0695 11.5828
angles: 90.00 90.00 90.00
Last column: nearest neighbours and their distance in Å.
Atoms (fractional coordinates):
Mn 0.0000 0.0000 0.0000  8 Cl 2.66
As 0.0000 0.0000 0.5000  4 As 3.07
Cl 0.5000 0.5000 0.1335  4 Mn 2.66
Cl 0.5000 0.5000 0.8665  4 Mn 2.66

The calculation puts the total DFT energy (no corrections) at -4.531 eV/atom. For the magnetic moment, the calculation gives 1.23 μB per atom. The value obtained for the uncorrected formation energy is -3.52 kcal/mol of atoms. As for the distance to the lowest polymorph of the same formula: 267 meV/atom.